# Ca2Ac6Ho

Crystalline Ca2Ac6Ho at its relaxed geometry (PBE-GGA, Alexandria via LeMat-Bulk).

The structure in CIF format:
```
data_Ca2Ac6Ho
_chemical_formula_sum 'Ca4 Ac12 Ho2'
_cell_length_a 8.2804
_cell_length_b 16.7758
_cell_length_c 5.8674
_cell_angle_alpha 90.00
_cell_angle_beta 90.00
_cell_angle_gamma 90.00
_symmetry_space_group_name_H-M 'C m m m'
_symmetry_Int_Tables_number 65
_symmetry_space_group_name_Hall '-C 2 2'
loop_
_atom_site_label
_atom_site_type_symbol
_atom_site_fract_x
_atom_site_fract_y
_atom_site_fract_z
Ca1 Ca 0.0000 0.2241 0.0000
Ac1 Ac 0.2182 0.3562 0.5000
Ac2 Ac 0.2454 0.5000 0.0000
Ho1 Ho 0.0000 0.0000 0.5000
```

E_form = 0.29 eV/atom
E_tot = -3.404 eV/atom
polymorph energy (0 for the lowest one) = 202 meV/atom
Fermi-level density of states = 1.657 states/eV per atom
magnetic moment = 0.0 μB/f.u.